# 1
VASP calculation (GGA-PBEsol) on crystalline YAl2Se at its relaxed geometry.

Values from the calculation:
* density: 4.59 g/cm³
* space group: No. 99
* D(E_F): 0.40 states/eV/atom
* formation energy without anion corrections: -549 meV/atom

extended XYZ file:
```
4
Lattice="-2.402 2.399 1.325 -1.423 -2.597 2.123 3.887 1.465 4.396" Properties=species:S:1:pos:R:3 pbc="T T T"
Al -0.992 0.247 2.764
Al 0.140 0.053 0.158
Se 1.880 0.708 2.126
Y 0.978 0.990 4.992
```

# 2
VASP calculation (GGA-PBEsol) on crystalline Na2O at its relaxed geometry.

Values from the calculation:
* density: 2.65 g/cm³
* space group: No. 189
* D(E_F): 0.00 states/eV/atom
* formation energy without anion corrections: -1132 meV/atom

extended XYZ file:
```
9
Lattice="3.583 0.000 0.000 0.000 6.133 0.000 0.000 -3.067 5.312" Properties=species:S:1:pos:R:3 pbc="T T T"
O 0.000 0.000 0.000
Na 1.791 4.536 0.000
O 1.791 0.000 3.541
Na 0.000 2.533 0.000
Na 0.000 -1.267 2.194
Na 1.791 -2.268 3.928
Na 0.000 1.800 3.118
O 1.791 3.067 1.771
Na 1.791 0.799 1.384
```

# 3
VASP calculation (GGA-PBEsol) on crystalline Ce3In3Ru2 at its relaxed geometry.

Values from the calculation:
* density: 8.70 g/cm³
* space group: No. 12
* D(E_F): 1.35 states/eV/atom
* formation energy from the elements: -0.432 eV/atom

extended XYZ file:
```
8
Lattice="4.793 0.000 0.000 0.000 4.854 0.066 -2.397 -1.072 7.920" Properties=species:S:1:pos:R:3 pbc="T T T"
Ru 2.397 3.624 4.646
In 2.397 -0.042 2.063
Ce 0.000 2.423 2.744
In 2.397 2.427 0.033
Ce 0.000 0.000 0.000
Ru 0.000 0.157 3.340
In 0.000 3.824 5.923
Ce 2.397 1.358 5.242
```

# 4
VASP calculation (GGA-PBEsol) on crystalline YBe2Mo at its relaxed geometry.

Values from the calculation:
* polymorph energy (0 for the lowest one): 0 meV/atom
* density: 5.30 g/cm³
* space group: No. 166
* D(E_F): 1.08 states/eV/atom
* formation energy from the elements: 0.277 eV/atom

extended XYZ file:
```
4
Lattice="-2.773 -1.849 -2.101 -1.716 -3.246 1.428 -4.822 0.961 1.824" Properties=species:S:1:pos:R:3 pbc="T T T"
Mo -4.655 -2.068 0.576
Be -2.788 -0.665 0.572
Be -6.523 -3.470 0.580
Y 0.000 0.000 0.000
```

# 5
VASP calculation (GGA-PBEsol) on crystalline InTcTe4 at its relaxed geometry.

Values from the calculation:
* density: 6.94 g/cm³
* space group: No. 216
* D(E_F): 1.07 states/eV/atom
* formation energy without anion corrections: 998 meV/atom

extended XYZ file:
```
6
Lattice="6.255 0.000 0.000 3.127 5.417 0.000 3.127 1.806 5.107" Properties=species:S:1:pos:R:3 pbc="T T T"
In 9.382 5.417 3.830
Te 6.255 3.611 4.480
Te 7.828 2.703 1.911
Tc 0.000 0.000 0.000
Te 4.682 2.703 1.911
Te 6.255 5.427 1.911
```

# 6
VASP calculation (GGA-PBEsol) on crystalline SbPd3O at its relaxed geometry.

Values from the calculation:
* density: 6.59 g/cm³
* space group: No. 221
* D(E_F): 0.79 states/eV/atom
* formation energy without anion corrections: 1142 meV/atom

extended XYZ file:
```
5
Lattice="4.864 0.000 0.000 0.000 4.864 0.000 0.000 0.000 4.864" Properties=species:S:1:pos:R:3 pbc="T T T"
Sb 0.000 0.000 0.000
O 2.432 2.432 2.432
Pd 2.432 0.000 0.000
Pd 0.000 0.000 2.432
Pd 0.000 2.432 0.000
```

no.,volume (Å³ per cell)
1,80.3
2,116.7
3,184.6
4,63.5
5,173.0
6,115.1